AgBr3Cl: relaxed, PBE.

POSCAR file:
```
AgBr3Cl
1.0
5.322 0.000 0.000
0.000 5.322 0.000
0.000 0.000 5.322
Ag Br Cl
1 3 1
direct
0.000 0.000 0.000
0.000 0.500 0.500
0.500 0.000 0.500
0.500 0.500 0.000
0.500 0.500 0.500
```

Results
Crystal system = cubic
Offset from the most stable computed form = 431 meV per atom
Uncorrected formation energy = 362.0 meV per atom
Symmetry = Pm-3m, No. 221